VASP calculation (PBE) on an optimized crystal structure of Be2TeRu.

a b c (Å): 4.118 4.118 5.577
angles (deg): 93.14 93.14 43.63
Fractional coordinates of all 4 atoms:
Be 0.000 0.000 0.000
Be 0.702 0.702 0.854
Te 0.603 0.603 0.421
Ru 0.292 0.292 0.135

Energy relative to the elements, uncorrected, eV/f.u.: 0.23
Crystal system: monoclinic


VASP calculation (PBE) on an optimized crystal structure of K3Nd3SbS8.

a b c (Å): 8.895 8.895 8.895
angles (deg): 55.26 55.26 55.26
Fractional coordinates of all 15 atoms:
K 0.000 0.500 0.500
K 0.500 0.000 0.500
K 0.500 0.500 0.000
Nd 0.000 0.000 0.500
Nd 0.000 0.500 0.000
Nd 0.500 0.000 0.000
Sb 0.500 0.500 0.500
S 0.235 0.235 0.235
S 0.253 0.722 0.722
S 0.278 0.278 0.747
S 0.278 0.747 0.278
S 0.722 0.253 0.722
S 0.722 0.722 0.253
S 0.747 0.278 0.278
S 0.765 0.765 0.765

Energy relative to the elements, uncorrected, eV/f.u.: -22.45
Crystal system: trigonal


VASP calculation (PBE) on an optimized crystal structure of Pm8Tl3.

a b c (Å): 7.332 7.332 7.332
angles (deg): 89.42 89.42 89.42
Fractional coordinates of all 11 atoms:
Pm 0.143 0.143 0.143
Pm 0.183 0.360 0.621
Pm 0.360 0.621 0.183
Pm 0.379 0.817 0.640
Pm 0.621 0.183 0.360
Pm 0.640 0.379 0.817
Pm 0.817 0.640 0.379
Pm 0.857 0.857 0.857
Tl 0.000 0.000 0.500
Tl 0.000 0.500 0.000
Tl 0.500 0.000 0.000

Crystal system: trigonal
E, eV for the cell shown: -44.3


Repeat the first record exactly.
VASP calculation (PBE) on an optimized crystal structure of Be2TeRu.

a b c (Å): 4.118 4.118 5.577
angles (deg): 93.14 93.14 43.63
Fractional coordinates of all 4 atoms:
Be 0.000 0.000 0.000
Be 0.702 0.702 0.854
Te 0.603 0.603 0.421
Ru 0.292 0.292 0.135

Energy relative to the elements, uncorrected, eV/f.u.: 0.23
Crystal system: monoclinic